Entry from Alexandria via LeMat-Bulk: an optimized crystal structure of Zr2InCl (PBE-GGA).

## Properties
Energy = -5.587 eV/atom
Offset from the most stable computed form = 0.4165 eV/atom
D(E_F) = 4.0 states/eV per cell

a b c (Å): 3.266 4.967 5.590
angles (deg): 90.00 90.00 90.00
Space group Pmmm (No. 47)
Inequivalent atoms, fractional coordinates:
Zr 0.000 0.000 0.000
Zr 0.500 0.000 0.500
In 0.000 0.500 0.500
Cl 0.500 0.500 0.000